Entry 1:
The following is a PBE calculation of an optimized crystal structure of Dy2TmRu, from Alexandria.

Properties
- Formation energy from the elements: 0.1143 eV/atom
- Size of the total moment: 0.006 μB per atom
- Crystal system: trigonal
- Energy above the most stable polymorph in this dataset: 1.81 eV per formula unit
- DFT total energy: -5.624 eV per atom
- Theoretical density: 8.91 Mg/m³
- N(E_F): 1.7135 states/eV/atom

abc: 10.762 10.762 10.762
angles: 18.61 18.61 18.61
Fractional positions:
Dy 0.106 0.106 0.106
Dy 0.894 0.894 0.894
Tm 0.000 0.000 0.000
Ru 0.500 0.500 0.500

=====

Entry 2:
The following is a PBE calculation of an optimized crystal structure of Dy2TmRu, from Alexandria.

Properties
- Formation energy from the elements: -0.3204 eV/atom
- Size of the total moment: 0.000 μB per atom
- Crystal system: orthorhombic
- Energy above the most stable polymorph in this dataset: 0.07 eV per formula unit
- DFT total energy: -6.058 eV per atom
- Theoretical density: 9.48 Mg/m³
- N(E_F): 0.7003 states/eV/atom

abc: 6.199 6.199 9.040
angles: 90.00 90.00 143.14
Fractional positions:
Dy 0.142 0.858 0.566
Dy 0.142 0.858 0.934
Dy 0.858 0.142 0.066
Dy 0.858 0.142 0.434
Tm 0.424 0.576 0.750
Tm 0.576 0.424 0.250
Ru 0.241 0.759 0.250
Ru 0.759 0.241 0.750

=====

Entry 3:
The following is a PBE calculation of an optimized crystal structure of DyTm5Ru6, from Alexandria.

Properties
- Formation energy from the elements: -0.3995 eV/atom
- Size of the total moment: 0.000 μB per atom
- Crystal system: monoclinic
- DFT total energy: -7.284 eV per atom
- Theoretical density: 11.76 Mg/m³
- N(E_F): 1.1548 states/eV/atom

abc: 8.211 8.211 4.761
angles: 106.71 106.71 48.42
Fractional positions:
Dy 0.000 0.000 0.000
Tm 0.167 0.167 0.667
Tm 0.333 0.333 0.333
Tm 0.500 0.500 0.000
Tm 0.667 0.667 0.667
Tm 0.833 0.833 0.333
Ru 0.083 0.582 0.833
Ru 0.251 0.749 0.500
Ru 0.418 0.917 0.167
Ru 0.582 0.083 0.833
Ru 0.749 0.251 0.500
Ru 0.917 0.418 0.167

=====

Entry 4:
The following is a PBE calculation of an optimized crystal structure of Dy3TmRu, from Alexandria.

Properties
- Formation energy from the elements: -0.2296 eV/atom
- Size of the total moment: 0.000 μB per atom
- Crystal system: monoclinic
- Energy above the most stable polymorph in this dataset: 0.00 eV per formula unit
- DFT total energy: -5.740 eV per atom
- Theoretical density: 9.21 Mg/m³
- N(E_F): 1.1077 states/eV/atom

abc: 6.254 6.254 12.924
angles: 112.17 112.17 36.06
Fractional positions:
Dy 0.000 0.000 0.000
Dy 0.021 0.021 0.378
Dy 0.226 0.226 0.858
Dy 0.332 0.332 0.141
Dy 0.659 0.659 0.242
Dy 0.689 0.689 0.615
Tm 0.350 0.350 0.477
Tm 0.468 0.468 0.755
Ru 0.021 0.021 0.617
Ru 0.663 0.663 0.987

=====

Entry 5:
The following is a PBE calculation of an optimized crystal structure of DyTm2Ru, from Alexandria.

Properties
- Formation energy from the elements: -0.3416 eV/atom
- Size of the total moment: 0.000 μB per atom
- Crystal system: orthorhombic
- Energy above the most stable polymorph in this dataset: 0.07 eV per formula unit
- DFT total energy: -6.047 eV per atom
- Theoretical density: 9.72 Mg/m³
- N(E_F): 0.8138 states/eV/atom

abc: 6.212 6.212 8.975
angles: 90.00 90.00 143.60
Fractional positions:
Dy 0.074 0.926 0.750
Dy 0.926 0.074 0.250
Tm 0.356 0.644 0.567
Tm 0.356 0.644 0.933
Tm 0.644 0.356 0.067
Tm 0.644 0.356 0.433
Ru 0.257 0.743 0.250
Ru 0.743 0.257 0.750

=====

Entry 6:
The following is a PBE calculation of an optimized crystal structure of Dy2TmRu2, from Alexandria.

Properties
- Formation energy from the elements: -0.3565 eV/atom
- Size of the total moment: 0.000 μB per atom
- Crystal system: orthorhombic
- Energy above the most stable polymorph in this dataset: 0.00 eV per formula unit
- DFT total energy: -6.802 eV per atom
- Theoretical density: 10.02 Mg/m³
- N(E_F): 0.5322 states/eV/atom

abc: 10.305 10.305 3.359
angles: 90.00 90.00 161.13
Fractional positions:
Dy 0.164 0.836 0.000
Dy 0.836 0.164 0.000
Tm 0.000 0.000 0.000
Ru 0.414 0.586 0.500
Ru 0.586 0.414 0.500

=====

Entry 7:
The following is a PBE calculation of an optimized crystal structure of DyTm2Ru, from Alexandria.

Properties
- Formation energy from the elements: 0.0734 eV/atom
- Size of the total moment: 0.065 μB per atom
- Crystal system: trigonal
- Energy above the most stable polymorph in this dataset: 1.73 eV per formula unit
- DFT total energy: -5.632 eV per atom
- Theoretical density: 9.14 Mg/m³
- N(E_F): 1.7767 states/eV/atom

abc: 10.801 10.801 10.801
angles: 18.37 18.37 18.37
Fractional positions:
Dy 0.000 0.000 0.000
Tm 0.107 0.107 0.107
Tm 0.893 0.893 0.893
Ru 0.500 0.500 0.500

=====

Entry 8:
The following is a PBE calculation of an optimized crystal structure of DyTm5Ru4, from Alexandria.

Properties
- Formation energy from the elements: -0.3667 eV/atom
- Size of the total moment: 0.000 μB per atom
- Crystal system: tetragonal
- DFT total energy: -6.773 eV per atom
- Theoretical density: 10.96 Mg/m³
- N(E_F): 0.8718 states/eV/atom

abc: 3.369 3.369 18.839
angles: 90.00 90.00 90.00
Fractional positions:
Dy 0.000 0.000 0.000
Tm 0.500 0.500 0.147
Tm 0.500 0.500 0.323
Tm 0.500 0.500 0.500
Tm 0.500 0.500 0.677
Tm 0.500 0.500 0.853
Ru 0.000 0.000 0.228
Ru 0.000 0.000 0.411
Ru 0.000 0.000 0.589
Ru 0.000 0.000 0.772

=====

Entry 9:
The following is a PBE calculation of an optimized crystal structure of DyTm2U2Ru5, from Alexandria.

Properties
- Formation energy from the elements: -0.2944 eV/atom
- Size of the total moment: 0.000 μB per atom
- Crystal system: tetragonal
- DFT total energy: -8.544 eV per atom
- Theoretical density: 12.32 Mg/m³
- N(E_F): 0.6578 states/eV/atom

abc: 10.513 10.513 3.615
angles: 90.00 90.00 90.00
Fractional positions:
Dy 0.000 0.000 0.000
Dy 0.500 0.500 0.000
Tm 0.174 0.326 0.000
Tm 0.326 0.826 0.000
Tm 0.674 0.174 0.000
Tm 0.826 0.674 0.000
U 0.134 0.634 0.000
U 0.366 0.134 0.000
U 0.634 0.866 0.000
U 0.866 0.366 0.000
Ru 0.000 0.500 0.500
Ru 0.055 0.788 0.500
Ru 0.212 0.055 0.500
Ru 0.288 0.555 0.500
Ru 0.445 0.288 0.500
Ru 0.500 0.000 0.500
Ru 0.555 0.712 0.500
Ru 0.712 0.445 0.500
Ru 0.788 0.945 0.500
Ru 0.945 0.212 0.500

=====

Entry 10:
The following is a PBE calculation of an optimized crystal structure of Dy2TmU2Ru5, from Alexandria.

Properties
- Formation energy from the elements: -0.2948 eV/atom
- Size of the total moment: 0.000 μB per atom
- Crystal system: tetragonal
- DFT total energy: -8.558 eV per atom
- Theoretical density: 12.24 Mg/m³
- N(E_F): 0.6408 states/eV/atom

abc: 10.577 10.577 3.579
angles: 90.00 90.00 90.00
Fractional positions:
Dy 0.174 0.326 0.000
Dy 0.326 0.826 0.000
Dy 0.674 0.174 0.000
Dy 0.826 0.674 0.000
Tm 0.000 0.000 0.000
Tm 0.500 0.500 0.000
U 0.136 0.636 0.000
U 0.364 0.136 0.000
U 0.636 0.864 0.000
U 0.864 0.364 0.000
Ru 0.000 0.500 0.500
Ru 0.053 0.789 0.500
Ru 0.211 0.053 0.500
Ru 0.289 0.553 0.500
Ru 0.447 0.289 0.500
Ru 0.500 0.000 0.500
Ru 0.553 0.711 0.500
Ru 0.711 0.447 0.500
Ru 0.789 0.947 0.500
Ru 0.947 0.211 0.500

=====

Entry 11:
The following is a PBE calculation of an optimized crystal structure of Dy3Tm3ZnRu2, from Alexandria.

Properties
- Formation energy from the elements: -0.1573 eV/atom
- Size of the total moment: 0.000 μB per atom
- Crystal system: hexagonal
- DFT total energy: -5.385 eV per atom
- Theoretical density: 9.90 Mg/m³
- N(E_F): 1.1242 states/eV/atom

abc: 8.121 8.121 3.706
angles: 90.00 90.00 120.00
Fractional positions:
Dy 0.000 0.721 0.000
Dy 0.279 0.279 0.000
Dy 0.721 0.000 0.000
Tm 0.000 0.398 0.500
Tm 0.398 0.000 0.500
Tm 0.602 0.602 0.500
Zn 0.000 0.000 0.500
Ru 0.333 0.667 0.000
Ru 0.667 0.333 0.000

=====

Entry 12:
The following is a PBE calculation of an optimized crystal structure of DyTmZnRu, from Alexandria.

Properties
- Formation energy from the elements: -0.3856 eV/atom
- Size of the total moment: 0.000 μB per atom
- Crystal system: cubic
- Energy above the most stable polymorph in this dataset: 0.18 eV per formula unit
- DFT total energy: -5.291 eV per atom
- Theoretical density: 10.06 Mg/m³
- N(E_F): 0.8004 states/eV/atom

abc: 4.880 4.880 4.880
angles: 60.00 60.00 60.00
Fractional positions:
Dy 0.000 0.000 0.000
Tm 0.500 0.500 0.500
Zn 0.250 0.250 0.250
Ru 0.750 0.750 0.750